CuHPd2 (GGA-PBE, relaxed); energy relative to the lowest polymorph listed for this composition = 0.000 eV per atom; raw total energy = -4.52 eV per atom
1.0
1.408 0.813 6.669
-1.408 0.813 6.669
0.000 -1.626 6.669
Cu H Pd
1 1 2
direct
0.000 0.000 0.000
0.168 0.168 0.168
0.561 0.561 0.561
0.772 0.772 0.772


CuH4Pd6 (GGA-PBE, relaxed); raw total energy = -4.46 eV per atom
1.0
3.945 0.000 0.000
0.000 13.318 0.000
-1.904 0.000 4.547
Cu H Pd
2 8 12
direct
0.213 0.250 0.395
0.787 0.750 0.605
0.159 0.126 0.906
0.159 0.374 0.906
0.286 0.561 0.515
0.286 0.939 0.515
0.714 0.061 0.485
0.714 0.439 0.485
0.841 0.626 0.094
0.841 0.874 0.094
0.000 0.000 0.000
0.000 0.500 0.000
0.085 0.750 0.207
0.306 0.072 0.603
0.306 0.428 0.603
0.390 0.645 0.812
0.390 0.855 0.812
0.610 0.145 0.188
0.610 0.355 0.188
0.694 0.572 0.397
0.694 0.928 0.397
0.915 0.250 0.793


CuH4Pd5 (GGA-PBE, relaxed); energy relative to the lowest polymorph listed for this composition = 0.054 eV per atom; raw total energy = -4.36 eV per atom
1.0
5.548 0.000 0.000
0.000 8.060 0.000
0.000 0.000 4.681
Cu H Pd
2 8 10
direct
0.250 0.250 0.216
0.750 0.750 0.784
0.008 0.250 0.484
0.250 0.535 0.953
0.250 0.965 0.953
0.492 0.250 0.484
0.508 0.750 0.516
0.750 0.035 0.047
0.750 0.465 0.047
0.992 0.750 0.516
0.000 0.081 0.751
0.000 0.419 0.751
0.000 0.581 0.249
0.000 0.919 0.249
0.250 0.750 0.758
0.500 0.081 0.751
0.500 0.419 0.751
0.500 0.581 0.249
0.500 0.919 0.249
0.750 0.250 0.242


Cu2HPd4 (GGA-PBE, relaxed); energy relative to the lowest polymorph listed for this composition = 0.000 eV per atom; raw total energy = -4.69 eV per atom
1.0
5.568 0.000 0.000
-0.082 5.600 0.000
-1.401 -1.419 5.715
Cu H Pd
4 2 8
direct
0.000 0.000 0.000
0.008 0.512 0.002
0.514 0.005 0.001
0.849 0.847 0.331
0.394 0.413 0.650
0.562 0.600 0.331
0.173 0.171 0.683
0.173 0.681 0.677
0.328 0.845 0.321
0.332 0.330 0.315
0.524 0.520 0.007
0.682 0.172 0.677
0.683 0.680 0.667
0.845 0.325 0.321


PmCuH6Pd (GGA-PBE, relaxed); raw total energy = -4.03 eV per atom
1.0
4.584 0.000 0.000
-2.292 3.970 0.000
0.000 0.000 4.391
Pm Cu H Pd
1 1 6 1
direct
0.000 0.000 0.000
0.333 0.667 0.500
0.008 0.504 0.235
0.008 0.504 0.765
0.496 0.504 0.235
0.496 0.504 0.765
0.496 0.992 0.235
0.496 0.992 0.765
0.667 0.333 0.500


CuHPdPt2 (GGA-PBE, relaxed); energy relative to the lowest polymorph listed for this composition = 0.011 eV per atom; raw total energy = -4.96 eV per atom
1.0
3.928 0.000 0.000
0.000 3.928 0.000
0.000 0.000 4.034
Cu H Pd Pt
1 1 1 2
direct
0.000 0.000 0.000
0.000 0.000 0.500
0.500 0.500 0.000
0.000 0.500 0.500
0.500 0.000 0.500